Here is a geometry-optimized Pm3ErPa3N8 structure from Alexandria. Energies are from GGA-PBE.

Values from the calculation:
Raw formation energy, eV/atom: -1.48
D(E_F), states/eV per atom: 0.29

abc: 7.0295 7.0295 17.3212
angles: 90.00 90.00 120.00
Space group R-3m (No. 166, hexagonal axes)
Unique sites:
Pm1 0.0000 0.5000 0.0000 (multiplicity 9)
Er1 0.0000 0.0000 0.5000 (multiplicity 3)
Pa1 0.0000 0.5000 0.5000 (multiplicity 9)
N1 0.0000 0.0000 0.2419 (multiplicity 6)
N2 0.0007 0.5003 0.7650 (multiplicity 18)


Here is a geometry-optimized YTh2Hg structure from Alexandria. Energies are from GGA-PBE.

Values from the calculation:
D(E_F), states/eV per atom: 1.15
Formation enthalpy at 0 K, eV/atom: -0.038

abc: 3.520 3.520 9.843
angles: 90.00 90.00 90.00
Space group P4/mmm (No. 123)
Unique sites:
Y1 0.000 0.000 0.000 (multiplicity 1)
Th1 0.500 0.500 0.269 (multiplicity 2)
Hg1 0.000 0.000 0.500 (multiplicity 1)


Here is a geometry-optimized YMn2 structure from Alexandria. Energies are from GGA-PBE.

Values from the calculation:
D(E_F), states/eV per atom: 1.08
Formation enthalpy at 0 K, eV/atom: 0.641

abc: 3.1453 3.1453 7.0596
angles: 90.00 90.00 120.00
Space group P-3m1 (No. 164)
Unique sites:
Y1 0.0000 0.0000 0.0000 (multiplicity 1)
Mn1 0.3333 0.6667 0.6460 (multiplicity 2)


Here is a geometry-optimized BaNaGaRh2 structure from Alexandria. Energies are from GGA-PBE.

Values from the calculation:
D(E_F), states/eV per atom: 0.69
Formation enthalpy at 0 K, eV/atom: 1.012

abc: 4.889 4.889 5.257
angles: 90.00 90.00 90.00
Space group P4/mmm (No. 123)
Unique sites:
Ba1 0.000 0.000 0.000 (multiplicity 1)
Na1 0.000 0.000 0.500 (multiplicity 1)
Ga1 0.500 0.500 0.000 (multiplicity 1)
Rh1 0.000 0.500 0.500 (multiplicity 2)


Here is a geometry-optimized Na2ZnTeO4 structure from Alexandria. Energies are from GGA-PBE.

Values from the calculation:
Raw formation energy, eV/atom: -1.29
D(E_F), states/eV per atom: 0.00

abc: 5.332 5.332 8.918
angles: 90.00 90.00 90.00
Space group I-4 (No. 82)
Unique sites:
Na1 0.000 0.000 0.000 (multiplicity 2)
Na2 0.000 0.500 0.250 (multiplicity 2)
Zn1 0.000 0.500 0.750 (multiplicity 2)
Te1 0.000 0.000 0.500 (multiplicity 2)
O1 0.198 0.746 0.627 (multiplicity 8)


Here is a geometry-optimized LaY4Tl2 structure from Alexandria. Energies are from GGA-PBE.

Values from the calculation:
D(E_F), states/eV per atom: 1.17
Formation enthalpy at 0 K, eV/atom: 0.043

abc: 5.1211 5.1211 31.6164
angles: 90.00 90.00 120.00
Space group R-3m (No. 166, hexagonal axes)
Unique sites:
La1 0.0000 0.0000 0.0000 (multiplicity 3)
Y1 0.0000 0.0000 0.2047 (multiplicity 6)
Y2 0.0000 0.0000 0.3908 (multiplicity 6)
Tl1 0.0000 0.0000 0.1023 (multiplicity 6)


Here is a geometry-optimized Ac2BeCuO6 structure from Alexandria. Energies are from GGA-PBE.

Values from the calculation:
Raw formation energy, eV/atom: -2.22
D(E_F), states/eV per atom: 0.29

abc: 5.4592 5.4592 27.2244
angles: 90.00 90.00 120.00
Space group R-3m (No. 166, hexagonal axes)
Unique sites:
Ac1 0.0000 0.0000 0.1243 (multiplicity 6)
Ac2 0.0000 0.0000 0.2907 (multiplicity 6)
Be1 0.0000 0.0000 0.0000 (multiplicity 3)
Be2 0.0000 0.0000 0.5000 (multiplicity 3)
Cu1 0.0000 0.0000 0.4131 (multiplicity 6)
O1 0.0097 0.5048 0.7066 (multiplicity 18)
O2 0.0146 0.5073 0.1247 (multiplicity 18)


Here is a geometry-optimized TlVCr2Tc structure from Alexandria. Energies are from GGA-PBE.

Values from the calculation:
D(E_F), states/eV per atom: 1.37
Formation enthalpy at 0 K, eV/atom: 2.156

abc: 4.980 4.980 5.123
angles: 90.00 90.00 90.00
Space group P4/mmm (No. 123)
Unique sites:
Tl1 0.000 0.000 0.000 (multiplicity 1)
V1 0.500 0.500 0.500 (multiplicity 1)
Cr1 0.000 0.500 0.000 (multiplicity 2)
Tc1 0.000 0.000 0.500 (multiplicity 1)


Here is a geometry-optimized LiAc2P2N6 structure from Alexandria. Energies are from GGA-PBE.

Values from the calculation:
Raw formation energy, eV/atom: -0.68
D(E_F), states/eV per atom: 0.56

abc: 5.6741 5.6741 16.8535
angles: 90.00 90.00 120.00
Space group R-3m (No. 166, hexagonal axes)
Unique sites:
Li1 0.0000 0.0000 0.0000 (multiplicity 3)
Ac1 0.0000 0.0000 0.2178 (multiplicity 6)
P1 0.0000 0.0000 0.4205 (multiplicity 6)
N1 0.0115 0.5057 0.2463 (multiplicity 18)


Here is a geometry-optimized UPt6Rh2 structure from Alexandria. Energies are from GGA-PBE.

Values from the calculation:
D(E_F), states/eV per atom: 1.25
Formation enthalpy at 0 K, eV/atom: -0.395

abc: 12.319 3.995 6.289
angles: 90.00 109.33 90.00
Space group C2/m (No. 12)
Unique sites:
U1 0.000 0.000 0.000 (multiplicity 2)
Pt1 0.109 0.000 0.666 (multiplicity 4)
Pt2 0.167 0.500 0.005 (multiplicity 4)
Pt3 0.225 0.000 0.337 (multiplicity 4)
Rh1 0.051 0.500 0.320 (multiplicity 4)


Here is a geometry-optimized SrLaGa structure from Alexandria. Energies are from GGA-PBE.

Values from the calculation:
D(E_F), states/eV per atom: 1.07
Formation enthalpy at 0 K, eV/atom: -0.271

abc: 10.241 7.183 7.649
angles: 90.00 131.99 90.00
Space group C2/m (No. 12)
Unique sites:
Sr1 0.185 0.000 0.000 (multiplicity 4)
La1 0.190 0.500 0.380 (multiplicity 4)
Ga1 0.000 0.249 0.500 (multiplicity 4)


Here is a geometry-optimized SrPm2SiN4 structure from Alexandria. Energies are from GGA-PBE.

Values from the calculation:
Raw formation energy, eV/atom: -1.17

abc: 3.448 12.230 11.968
angles: 90.00 90.00 90.00
Space group Cmcm (No. 63)
Unique sites:
Sr1 0.000 0.093 0.250 (multiplicity 4)
Pm1 0.000 0.368 0.040 (multiplicity 8)
Si1 0.000 0.186 0.750 (multiplicity 4)
N1 0.000 0.000 0.000 (multiplicity 4)
N2 0.000 0.263 0.629 (multiplicity 8)
N3 0.000 0.396 0.250 (multiplicity 4)


Copy entry 12 word for word.
Here is a geometry-optimized SrPm2SiN4 structure from Alexandria. Energies are from GGA-PBE.

Values from the calculation:
Raw formation energy, eV/atom: -1.17

abc: 3.448 12.230 11.968
angles: 90.00 90.00 90.00
Space group Cmcm (No. 63)
Unique sites:
Sr1 0.000 0.093 0.250 (multiplicity 4)
Pm1 0.000 0.368 0.040 (multiplicity 8)
Si1 0.000 0.186 0.750 (multiplicity 4)
N1 0.000 0.000 0.000 (multiplicity 4)
N2 0.000 0.263 0.629 (multiplicity 8)
N3 0.000 0.396 0.250 (multiplicity 4)